BeCdAs2: relaxed, GGA-PBE.

As for the total energy: -3.095 eV/atom. For the formation energy, the calculation gives 37.7 kJ per mole of atoms.

Structure (CIF):
```
data_BeCdAs2
_chemical_formula_sum 'Be1 Cd1 As2'
_cell_length_a 2.832
_cell_length_b 2.832
_cell_length_c 9.137
_cell_angle_alpha 90.00
_cell_angle_beta 90.00
_cell_angle_gamma 90.00
_symmetry_space_group_name_H-M 'P 1'
_symmetry_Int_Tables_number 1
loop_
_symmetry_equiv_pos_as_xyz
'x,y,z'
loop_
_atom_site_label
_atom_site_fract_x
_atom_site_fract_y
_atom_site_fract_z
Be1 0.000 0.000 0.000
Cd1 0.500 0.500 0.216
As1 0.000 0.000 0.489
As2 0.500 0.500 0.828
```

=====

Ca3ZnHg: relaxed, GGA-PBE.

As for the total energy: -1.857 eV/atom. For the formation energy, the calculation gives -32.9 kJ per mole of atoms.

Structure (CIF):
```
data_Ca3ZnHg
_chemical_formula_sum 'Ca6 Zn2 Hg2'
_cell_length_a 8.277
_cell_length_b 4.431
_cell_length_c 8.766
_cell_angle_alpha 90.00
_cell_angle_beta 110.54
_cell_angle_gamma 90.00
_symmetry_space_group_name_H-M 'P 1'
_symmetry_Int_Tables_number 1
loop_
_symmetry_equiv_pos_as_xyz
'x,y,z'
loop_
_atom_site_label
_atom_site_fract_x
_atom_site_fract_y
_atom_site_fract_z
Ca1 0.076 0.250 0.220
Ca2 0.315 0.250 0.925
Ca3 0.358 0.750 0.586
Ca4 0.642 0.250 0.414
Ca5 0.685 0.750 0.075
Ca6 0.924 0.750 0.780
Zn1 0.050 0.250 0.574
Zn2 0.950 0.750 0.426
Hg1 0.353 0.750 0.200
Hg2 0.647 0.250 0.800
```

=====

Be3Tc2B2: relaxed, GGA-PBE.

As for the total energy: -6.852 eV/atom. For the formation energy, the calculation gives -37.2 kJ per mole of atoms.

Structure (CIF):
```
data_Be3Tc2B2
_chemical_formula_sum 'Be3 Tc2 B2'
_cell_length_a 4.224
_cell_length_b 4.224
_cell_length_c 5.332
_cell_angle_alpha 97.54
_cell_angle_beta 97.54
_cell_angle_gamma 42.24
_symmetry_space_group_name_H-M 'P 1'
_symmetry_Int_Tables_number 1
loop_
_symmetry_equiv_pos_as_xyz
'x,y,z'
loop_
_atom_site_label
_atom_site_fract_x
_atom_site_fract_y
_atom_site_fract_z
Be1 0.000 0.000 0.000
Be2 0.318 0.318 0.141
Be3 0.682 0.682 0.859
Tc1 0.374 0.374 0.669
Tc2 0.626 0.626 0.331
B1 0.083 0.083 0.639
B2 0.917 0.917 0.361
```

=====

SrLaTl2C: relaxed, GGA-PBE.

As for the total energy: -2.282 eV/atom. For the formation energy, the calculation gives 176.6 kJ per mole of atoms.

Structure (CIF):
```
data_SrLaTl2C
_chemical_formula_sum 'Sr1 La1 Tl2 C1'
_cell_length_a 6.084
_cell_length_b 6.084
_cell_length_c 7.133
_cell_angle_alpha 90.00
_cell_angle_beta 90.00
_cell_angle_gamma 90.00
_symmetry_space_group_name_H-M 'P 1'
_symmetry_Int_Tables_number 1
loop_
_symmetry_equiv_pos_as_xyz
'x,y,z'
loop_
_atom_site_label
_atom_site_fract_x
_atom_site_fract_y
_atom_site_fract_z
Sr1 0.000 0.000 0.000
La1 0.000 0.000 0.500
Tl1 0.000 0.500 0.500
Tl2 0.500 0.000 0.500
C1 0.500 0.500 0.000
```

=====

DyEr3Mg4: relaxed, GGA-PBE.

As for the total energy: -3.156 eV/atom. For the formation energy, the calculation gives -6.9 kJ per mole of atoms.

Structure (CIF):
```
data_DyEr3Mg4
_chemical_formula_sum 'Dy1 Er3 Mg4'
_cell_length_a 3.768
_cell_length_b 3.768
_cell_length_c 15.103
_cell_angle_alpha 90.00
_cell_angle_beta 90.00
_cell_angle_gamma 90.00
_symmetry_space_group_name_H-M 'P 1'
_symmetry_Int_Tables_number 1
loop_
_symmetry_equiv_pos_as_xyz
'x,y,z'
loop_
_atom_site_label
_atom_site_fract_x
_atom_site_fract_y
_atom_site_fract_z
Dy1 0.000 0.000 0.000
Er1 0.000 0.000 0.251
Er2 0.000 0.000 0.500
Er3 0.000 0.000 0.749
Mg1 0.500 0.500 0.126
Mg2 0.500 0.500 0.375
Mg3 0.500 0.500 0.625
Mg4 0.500 0.500 0.874
```

=====

Rb3InAu: relaxed, GGA-PBE.

As for the total energy: -1.896 eV/atom. For the formation energy, the calculation gives -10.9 kJ per mole of atoms.

Structure (CIF):
```
data_Rb3InAu
_chemical_formula_sum 'Rb6 In2 Au2'
_cell_length_a 8.585
_cell_length_b 8.585
_cell_length_c 9.069
_cell_angle_alpha 120.73
_cell_angle_beta 120.73
_cell_angle_gamma 79.24
_symmetry_space_group_name_H-M 'P 1'
_symmetry_Int_Tables_number 1
loop_
_symmetry_equiv_pos_as_xyz
'x,y,z'
loop_
_atom_site_label
_atom_site_fract_x
_atom_site_fract_y
_atom_site_fract_z
Rb1 0.060 0.060 0.345
Rb2 0.091 0.476 0.239
Rb3 0.476 0.091 0.239
Rb4 0.524 0.909 0.761
Rb5 0.909 0.524 0.761
Rb6 0.940 0.940 0.655
In1 0.440 0.440 0.767
In2 0.560 0.560 0.233
Au1 0.289 0.289 0.891
Au2 0.711 0.711 0.109
```

=====

Ta2TiH6: relaxed, GGA-PBE.

As for the total energy: -6.013 eV/atom.

Structure (CIF):
```
data_Ta2TiH6
_chemical_formula_sum 'Ta2 Ti1 H6'
_cell_length_a 5.489
_cell_length_b 5.489
_cell_length_c 3.164
_cell_angle_alpha 106.56
_cell_angle_beta 106.56
_cell_angle_gamma 48.31
_symmetry_space_group_name_H-M 'P 1'
_symmetry_Int_Tables_number 1
loop_
_symmetry_equiv_pos_as_xyz
'x,y,z'
loop_
_atom_site_label
_atom_site_fract_x
_atom_site_fract_y
_atom_site_fract_z
Ta1 0.167 0.167 0.167
Ta2 0.833 0.833 0.833
Ti1 0.500 0.500 0.500
H1 0.088 0.583 0.336
H2 0.255 0.745 0.000
H3 0.417 0.912 0.664
H4 0.583 0.088 0.336
H5 0.745 0.255 0.000
H6 0.912 0.417 0.664
```

=====

HRhN3: relaxed, GGA-PBE.

As for the total energy: -4.833 eV/atom.

Structure (CIF):
```
data_HRhN3
_chemical_formula_sum 'H1 Rh1 N3'
_cell_length_a 3.330
_cell_length_b 3.330
_cell_length_c 3.330
_cell_angle_alpha 90.00
_cell_angle_beta 90.00
_cell_angle_gamma 90.00
_symmetry_space_group_name_H-M 'P 1'
_symmetry_Int_Tables_number 1
loop_
_symmetry_equiv_pos_as_xyz
'x,y,z'
loop_
_atom_site_label
_atom_site_fract_x
_atom_site_fract_y
_atom_site_fract_z
H1 0.000 0.000 0.000
Rh1 0.500 0.500 0.500
N1 0.000 0.000 0.500
N2 0.000 0.500 0.000
N3 0.500 0.000 0.000
```